# NaTi2Sb2

NaTi2Sb2 at its PBEsol-relaxed geometry (SCAN, Alexandria via LeMat-Bulk).

Summary:
- ρ: 4.9 g/cm3
- Total DFT energy (no corrections): -111.1 eV for the cell shown
- Formation energy (no corrections): -0.059 eV per atom
- DOS(E_F): 1.343 states/eV/cell

a = 5.805 Å, b = 5.805 Å, c = 5.805 Å
α = 126.49°, β = 126.49°, γ = 79.08°
Atoms (fractional coordinates):
Na 0.000 0.000 0.000
Ti 0.353 0.353 0.000
Ti 0.647 0.647 0.000
Sb 0.250 0.750 0.500
Sb 0.750 0.250 0.500

---

# MgNiSb

MgNiSb at its PBEsol-relaxed geometry (SCAN, Alexandria via LeMat-Bulk).

Summary:
- ρ: 6.3 g/cm3
- Total DFT energy (no corrections): -59.8 eV for the cell shown
- Formation energy (no corrections): -0.468 eV per atom
- DOS(E_F): 1.505 states/eV/cell

a = 4.245 Å, b = 4.245 Å, c = 4.245 Å
α = 60.00°, β = 60.00°, γ = 60.00°
Atoms (fractional coordinates):
Mg 0.000 0.000 0.000
Ni 0.250 0.250 0.250
Sb 0.500 0.500 0.500

---

# YIn2Pt

YIn2Pt at its PBEsol-relaxed geometry (SCAN, Alexandria via LeMat-Bulk).

Summary:
- ρ: 9.8 g/cm3
- Total DFT energy (no corrections): -167.4 eV for the cell shown
- DOS(E_F): 1.445 states/eV/cell

a = 3.598 Å, b = 3.598 Å, c = 6.734 Å
α = 90.00°, β = 90.00°, γ = 90.00°
Atoms (fractional coordinates):
Y 0.000 0.000 0.000
In 0.000 0.000 0.552
In 0.500 0.500 0.297
Pt 0.500 0.500 0.784

---

# SiRuCl2

SiRuCl2 at its PBEsol-relaxed geometry (SCAN, Alexandria via LeMat-Bulk).

Summary:
- ρ: 5.3 g/cm3
- Total DFT energy (no corrections): -58.7 eV for the cell shown
- Formation energy (no corrections): 0.534 eV per atom
- DOS(E_F): 1.882 states/eV/cell
- Distance to the lowest polymorph of the same formula: 239 kJ/mol of formula units

a = 2.886 Å, b = 4.189 Å, c = 5.179 Å
α = 90.00°, β = 90.00°, γ = 90.00°
Atoms (fractional coordinates):
Si 0.000 0.000 0.000
Ru 0.500 0.000 0.500
Cl 0.000 0.500 0.500
Cl 0.500 0.500 0.000

---

Q: What is the formula in the third record?
A: YIn2Pt

---

Q: Among the records above, which one has the lowest ρ?
A: NaTi2Sb2

---

Repeat the second record exactly.
# MgNiSb

MgNiSb at its PBEsol-relaxed geometry (SCAN, Alexandria via LeMat-Bulk).

Summary:
- ρ: 6.3 g/cm3
- Total DFT energy (no corrections): -59.8 eV for the cell shown
- Formation energy (no corrections): -0.468 eV per atom
- DOS(E_F): 1.505 states/eV/cell

a = 4.245 Å, b = 4.245 Å, c = 4.245 Å
α = 60.00°, β = 60.00°, γ = 60.00°
Atoms (fractional coordinates):
Mg 0.000 0.000 0.000
Ni 0.250 0.250 0.250
Sb 0.500 0.500 0.500

---

Repeat the fourth record exactly.
# SiRuCl2

SiRuCl2 at its PBEsol-relaxed geometry (SCAN, Alexandria via LeMat-Bulk).

Summary:
- ρ: 5.3 g/cm3
- Total DFT energy (no corrections): -58.7 eV for the cell shown
- Formation energy (no corrections): 0.534 eV per atom
- DOS(E_F): 1.882 states/eV/cell
- Distance to the lowest polymorph of the same formula: 239 kJ/mol of formula units

a = 2.886 Å, b = 4.189 Å, c = 5.179 Å
α = 90.00°, β = 90.00°, γ = 90.00°
Atoms (fractional coordinates):
Si 0.000 0.000 0.000
Ru 0.500 0.000 0.500
Cl 0.000 0.500 0.500
Cl 0.500 0.500 0.000